Record 1
The following is a PBE calculation of a relaxed DyInGaPt crystal, from the Alexandria database.

Cell lengths 4.863, 4.863, 4.863 Å; angles 60.00, 60.00, 60.00 degrees
Positions (direct):
Dy: 0.000 0.000 0.000
In: 0.500 0.500 0.500
Ga: 0.750 0.750 0.750
Pt: 0.250 0.250 0.250

* formation enthalpy at 0 K: -667 meV/atom
* M_tot: 0.00 μB/atom
* space-group type: No. 216

---

Record 2
The following is a PBE calculation of a relaxed Dy2InGa3Pt4 crystal, from the Alexandria database.

Cell lengths 4.091, 4.091, 11.555 Å; angles 90.00, 90.00, 90.00 degrees
Positions (direct):
Dy: 0.000 0.500 0.241
Dy: 0.500 0.000 0.759
In: 0.000 0.000 0.500
Ga: 0.000 0.500 0.870
Ga: 0.500 0.000 0.130
Ga: 0.500 0.500 0.500
Pt: 0.000 0.000 0.000
Pt: 0.000 0.500 0.658
Pt: 0.500 0.000 0.342
Pt: 0.500 0.500 0.000

* formation enthalpy at 0 K: -900 meV/atom
* M_tot: 0.00 μB/atom
* space-group type: No. 115

---

Record 3
The following is a PBE calculation of a relaxed Dy2InGa4Pt3 crystal, from the Alexandria database.

Cell lengths 4.212, 4.212, 10.982 Å; angles 90.00, 90.00, 90.00 degrees
Positions (direct):
Dy: 0.000 0.500 0.235
Dy: 0.500 0.000 0.765
In: 0.000 0.000 0.500
Ga: 0.000 0.000 0.000
Ga: 0.000 0.500 0.649
Ga: 0.500 0.000 0.351
Ga: 0.500 0.500 0.000
Pt: 0.000 0.500 0.870
Pt: 0.500 0.000 0.130
Pt: 0.500 0.500 0.500

* formation enthalpy at 0 K: -812 meV/atom
* M_tot: 0.00 μB/atom
* space-group type: No. 115

---

Record 4
The following is a PBE calculation of a relaxed DyInGaRh crystal, from the Alexandria database.

Cell lengths 4.803, 4.803, 4.803 Å; angles 60.00, 60.00, 60.00 degrees
Positions (direct):
Dy: 0.000 0.000 0.000
In: 0.500 0.500 0.500
Ga: 0.750 0.750 0.750
Rh: 0.250 0.250 0.250

* formation enthalpy at 0 K: -498 meV/atom
* M_tot: 0.00 μB/atom
* space-group type: No. 216

---

Record 5
The following is a PBE calculation of a relaxed Dy4InGaRu2 crystal, from the Alexandria database.

Cell lengths 8.663, 8.663, 8.663 Å; angles 33.51, 33.51, 33.51 degrees
Positions (direct):
Dy: 0.122 0.122 0.122
Dy: 0.372 0.372 0.372
Dy: 0.628 0.628 0.628
Dy: 0.878 0.878 0.878
In: 0.500 0.500 0.500
Ga: 0.000 0.000 0.000
Ru: 0.249 0.249 0.249
Ru: 0.751 0.751 0.751

* formation enthalpy at 0 K: -393 meV/atom
* M_tot: 0.00 μB/atom
* space-group type: No. 166

---

Record 6
The following is a PBE calculation of a relaxed DyScInGa crystal, from the Alexandria database.

Cell lengths 3.495, 3.495, 7.427 Å; angles 90.00, 90.00, 90.00 degrees
Positions (direct):
Dy: 0.000 0.000 0.000
Sc: 0.000 0.000 0.467
In: 0.500 0.500 0.716
Ga: 0.500 0.500 0.251

* formation enthalpy at 0 K: -503 meV/atom
* M_tot: 0.00 μB/atom
* space-group type: No. 99
* polymorph energy (0 for the lowest one): 0.0 meV/atom

---

Record 7
The following is a PBE calculation of a relaxed DyScInGa crystal, from the Alexandria database.

Cell lengths 5.058, 5.058, 5.058 Å; angles 60.00, 60.00, 60.00 degrees
Positions (direct):
Dy: 0.000 0.000 0.000
Sc: 0.500 0.500 0.500
In: 0.250 0.250 0.250
Ga: 0.750 0.750 0.750

* formation enthalpy at 0 K: -476 meV/atom
* M_tot: 0.00 μB/atom
* space-group type: No. 216
* polymorph energy (0 for the lowest one): 26.8 meV/atom

---

Record 8
The following is a PBE calculation of a relaxed DyInGaSn crystal, from the Alexandria database.

Cell lengths 4.376, 4.524, 4.767 Å; angles 90.00, 90.00, 90.00 degrees
Positions (direct):
Dy: 0.000 0.000 0.000
In: 0.000 0.500 0.500
Ga: 0.500 0.500 0.000
Sn: 0.500 0.000 0.500

* formation enthalpy at 0 K: -450 meV/atom
* M_tot: 0.00 μB/atom
* space-group type: No. 47

---

Record 9
The following is a PBE calculation of a relaxed Tb2Dy2InGa4 crystal, from the Alexandria database.

Cell lengths 6.791, 6.791, 6.791 Å; angles 117.06, 117.06, 95.17 degrees
Positions (direct):
Tb: 0.185 0.185 0.000
Tb: 0.815 0.815 0.000
Dy: 0.250 0.750 0.500
Dy: 0.750 0.250 0.500
In: 0.500 0.500 0.000
Ga: 0.239 0.239 0.478
Ga: 0.239 0.761 0.000
Ga: 0.761 0.239 0.000
Ga: 0.761 0.761 0.522

* formation enthalpy at 0 K: -157 meV/atom
* M_tot: 0.00 μB/atom
* space-group type: No. 139

---

Record 10
The following is a PBE calculation of a relaxed DyThInGa crystal, from the Alexandria database.

Cell lengths 5.296, 5.296, 5.296 Å; angles 60.00, 60.00, 60.00 degrees
Positions (direct):
Dy: 0.000 0.000 0.000
Th: 0.500 0.500 0.500
In: 0.250 0.250 0.250
Ga: 0.750 0.750 0.750

* formation enthalpy at 0 K: -360 meV/atom
* M_tot: 0.00 μB/atom
* space-group type: No. 216

---

Record 11
The following is a PBE calculation of a relaxed DyYInGa crystal, from the Alexandria database.

Cell lengths 5.200, 5.200, 5.200 Å; angles 60.00, 60.00, 60.00 degrees
Positions (direct):
Dy: 0.000 0.000 0.000
Y: 0.500 0.500 0.500
In: 0.750 0.750 0.750
Ga: 0.250 0.250 0.250

* formation enthalpy at 0 K: -514 meV/atom
* M_tot: 0.00 μB/atom
* space-group type: No. 216
* polymorph energy (0 for the lowest one): 18.9 meV/atom

---

Record 12
The following is a PBE calculation of a relaxed DyYInGa crystal, from the Alexandria database.

Cell lengths 3.591, 3.591, 7.686 Å; angles 90.00, 90.00, 90.00 degrees
Positions (direct):
Dy: 0.000 0.000 0.000
Y: 0.000 0.000 0.470
In: 0.500 0.500 0.735
Ga: 0.500 0.500 0.234

* formation enthalpy at 0 K: -533 meV/atom
* M_tot: 0.00 μB/atom
* space-group type: No. 99
* polymorph energy (0 for the lowest one): 0.0 meV/atom